1.
DFT (PBE) results for a geometry-optimized SrBeGe2W structure.

Unit cell a=4.891 b=4.652 c=4.891 alpha=90.00 beta=90.00 gamma=90.00
Fractional positions:
Ge1 0.500 0.000 0.000
Ge2 0.000 0.000 0.500
W1 0.000 0.000 0.000
Be1 0.000 0.500 0.000
Sr1 0.500 0.500 0.500

## Properties
Its formation energy is 0.0480 eV per atom. The calculation puts the density of states at the Fermi level at 2.1 states/eV/cell.

2.
DFT (PBE) results for a geometry-optimized Mn4Co5 structure.

Unit cell a=6.868 b=6.868 c=4.907 alpha=90.00 beta=90.00 gamma=60.00
Site moments in Bohr magnetons follow the coordinates.
Fractional positions:
Co1 0.000 0.672 0.750  0.30
Co2 0.333 0.333 0.000  0.99
Co3 0.667 0.667 0.500  0.99
Co4 0.672 0.328 0.750  0.30
Co5 0.328 0.672 0.250  0.30
Co6 0.333 0.333 0.500  0.99
Co7 0.328 0.000 0.750  0.30
Co8 0.667 0.667 0.000  0.99
Co9 0.000 0.328 0.250  0.30
Co10 0.672 0.000 0.250  0.30
Mn1 0.339 0.661 0.750  2.15
Mn2 0.000 0.661 0.250  2.15
Mn3 0.661 0.000 0.750  2.15
Mn4 0.339 0.000 0.250  2.15
Mn5 0.000 0.339 0.750  2.15
Mn6 0.661 0.339 0.250  2.15
Mn7 0.000 0.000 0.000  -2.24
Mn8 0.000 0.000 0.500  -2.24

## Properties
Its formation energy is 0.1158 eV per atom. The calculation puts the density of states at the Fermi level at 19.6 states/eV/cell. The energy relative to the lowest polymorph listed for this composition comes out at 21 meV per atom.

3.
DFT (PBE) results for a geometry-optimized CsRuN2O structure.

Unit cell a=3.946 b=3.946 c=4.398 alpha=90.00 beta=90.00 gamma=90.00
Fractional positions:
Cs1 0.500 0.500 0.500
O1 0.000 0.000 0.500
Ru1 0.000 0.000 0.000
N1 0.500 0.000 0.000
N2 0.000 0.500 0.000

## Properties
The calculation puts the density of states at the Fermi level at 3.7 states/eV/cell. The calculation puts the uncorrected formation energy at 0.4372 eV/atom.

4.
DFT (PBE) results for a geometry-optimized Rb2SnHI5 structure.

Unit cell a=4.903 b=10.983 c=14.724 alpha=90.00 beta=90.00 gamma=102.90
Fractional positions:
I1 0.508 0.015 0.287
I2 0.317 0.634 0.371
I3 0.492 0.985 0.787
I4 0.683 0.366 0.871
I5 0.663 0.326 0.519
I6 0.038 0.075 0.036
I7 0.962 0.925 0.536
I8 0.337 0.674 0.019
I9 0.306 0.611 0.665
I10 0.694 0.389 0.165
Sn1 0.178 0.357 0.021
Sn2 0.822 0.643 0.521
Rb1 0.857 0.714 0.842
Rb2 0.875 0.751 0.190
Rb3 0.125 0.249 0.690
Rb4 0.143 0.286 0.342
H1 0.481 0.963 0.393
H2 0.519 0.037 0.893

## Properties
The total energy is -2.704 eV per atom. The calculation puts the density of states at the Fermi level at 0.0 states/eV/cell.

5.
DFT (PBE) results for a geometry-optimized KYHg structure.

Unit cell a=7.889 b=7.889 c=3.878 alpha=75.77 beta=75.78 gamma=28.45
Fractional positions:
K1 0.647 0.647 0.353
Hg1 0.971 0.971 0.029
Y1 0.382 0.382 0.618

## Properties
Its formation energy is -0.0867 eV per atom. The calculation puts the density of states at the Fermi level at 1.1 states/eV/cell. The energy relative to the lowest polymorph listed for this composition comes out at 0 meV per atom.

6.
DFT (PBE) results for a geometry-optimized YInRu structure.

Unit cell a=4.660 b=4.660 c=4.660 alpha=60.00 beta=60.00 gamma=60.00
Fractional positions:
Y1 0.000 0.000 0.000
In1 0.500 0.500 0.500
Ru1 0.750 0.750 0.750

## Properties
Its formation energy is -0.1785 eV per atom. The calculation puts the density of states at the Fermi level at 1.1 states/eV/cell.

7.
DFT (PBE) results for a geometry-optimized CaYPS2 structure.

Unit cell a=5.047 b=5.047 c=5.002 alpha=90.00 beta=90.00 gamma=90.00
Fractional positions:
Ca1 0.000 0.000 0.000
S1 0.000 0.500 0.000
S2 0.500 0.000 0.000
Y1 0.500 0.500 0.500
P1 0.000 0.000 0.500

## Properties
The calculation puts the density of states at the Fermi level at 3.4 states/eV/cell. The calculation puts the uncorrected formation energy at -0.3584 eV/atom. The energy relative to the lowest polymorph listed for this composition comes out at 469 meV per atom.

8.
DFT (PBE) results for a geometry-optimized Pu2Ge6PdRh structure.

Unit cell a=6.090 b=6.090 c=13.495 alpha=76.96 beta=76.96 gamma=60.00
Site moments in Bohr magnetons follow the coordinates.
Fractional positions:
Pd1 0.500 0.500 0.500  0.05
Pd2 0.000 0.000 0.000  0.00
Pu1 0.723 0.723 0.831  5.32
Pu2 0.128 0.128 0.617  5.30
Pu3 0.872 0.872 0.383  5.30
Pu4 0.277 0.277 0.169  5.32
Ge1 0.768 0.196 0.840  -0.04
Ge2 0.344 0.344 0.384  -0.01
Ge3 0.804 0.804 0.160  -0.04
Ge4 0.344 0.928 0.384  -0.01
Ge5 0.232 0.804 0.160  -0.04
Ge6 0.656 0.656 0.616  -0.01
Ge7 0.656 0.072 0.616  -0.01
Ge8 0.928 0.344 0.384  -0.01
Ge9 0.804 0.232 0.160  -0.04
Ge10 0.196 0.768 0.840  -0.04
Ge11 0.072 0.656 0.616  -0.01
Ge12 0.196 0.196 0.840  -0.04
Rh1 0.424 0.424 0.729  0.06
Rh2 0.576 0.576 0.271  0.06

## Properties
Its formation energy is -0.2925 eV per atom. The calculation puts the density of states at the Fermi level at 34.0 states/eV/cell.